An optimized crystal structure of WF. Source: Alexandria, functional PBE with a Hubbard U.

## Properties
The space-group type is P6_3mc (186). Its magnetic moment is 0.276 μB per atom. The calculation puts the total energy at -18.45 eV per cell.

a = 2.801 Å, b = 2.801 Å, c = 10.132 Å
α = 90.00°, β = 90.00°, γ = 120.00°
Element x y z (fractional)
W1 0.333 0.667 0.000
W2 0.667 0.333 0.500
F1 0.333 0.667 0.812
F2 0.667 0.333 0.312